1.
{"formula": "Pm2GaPt3", "functional": "GGA-PBE", "state": "optimized geometry", "lattice": [[5.8784, -0.3974, 0.0000], [-0.6254, 5.8585, 0.0000], [-2.6265, -2.7306, 7.6316]], "species": ["Pm", "Pm", "Pm", "Pm", "Ga", "Ga", "Pt", "Pt", "Pt", "Pt", "Pt", "Pt"], "frac_coords": [[0.2500, 0.7500, 0.5000], [0.7554, 0.7554, 0.0000], [0.7500, 0.2500, 0.5000], [0.2446, 0.2446, 0.0000], [0.6677, 0.6677, 0.3353], [0.3323, 0.3323, 0.6647], [0.3489, 0.8254, 0.1743], [0.1746, 0.6511, 0.8257], [0.6511, 0.1746, 0.8257], [0.8254, 0.3489, 0.1743], [0.1696, 0.1696, 0.3392], [0.8304, 0.8304, 0.6608]], "formation_energy_ev_per_atom": -1.02}


2.
{"formula": "PmGaPt3", "functional": "GGA-PBE", "state": "optimized geometry", "lattice": [[-0.9146, 3.1773, -2.4615], [-5.9127, -4.6622, -3.8210], [-7.2811, 3.4097, 7.1065]], "species": ["Pm", "Pm", "Pm", "Pm", "Ga", "Ga", "Ga", "Ga", "Pt", "Pt", "Pt", "Pt", "Pt", "Pt", "Pt", "Pt", "Pt", "Pt", "Pt", "Pt"], "frac_coords": [[0.7500, 0.8189, 0.0086], [0.2500, 0.6811, 0.5086], [0.7500, 0.3189, 0.4914], [0.2500, 0.1811, 0.9914], [0.2500, 0.1114, 0.6388], [0.2500, 0.6114, 0.8612], [0.7500, 0.3886, 0.1388], [0.7500, 0.8886, 0.3612], [0.2500, 0.5698, 0.0897], [0.7500, 0.4302, 0.9103], [0.2500, 0.0698, 0.4103], [0.7500, 0.9302, 0.5897], [0.2500, 0.3929, 0.7051], [0.7500, 0.1071, 0.2051], [0.2500, 0.8929, 0.7949], [0.7500, 0.6450, 0.7118], [0.2500, 0.3550, 0.2882], [0.7500, 0.1450, 0.7882], [0.7500, 0.6071, 0.2949], [0.2500, 0.8550, 0.2118]], "formation_energy_ev_per_atom": -0.85, "polymorph_energy_mev_per_atom": 0}


3.
{"formula": "PmGaPt4", "functional": "GGA-PBE", "state": "optimized geometry", "lattice": [[-0.0185, -3.8847, -1.1369], [6.9179, -0.3533, 1.0945], [-1.2505, -2.1081, 7.2236]], "species": ["Pm", "Pm", "Ga", "Ga", "Pt", "Pt", "Pt", "Pt", "Pt", "Pt", "Pt", "Pt"], "frac_coords": [[0.0000, 0.6432, 0.7500], [0.0000, 0.3568, 0.2500], [0.0000, 0.2255, 0.7500], [0.0000, 0.7745, 0.2500], [0.0000, 0.0000, 0.5000], [0.0000, 0.0000, 0.0000], [0.5000, 0.9538, 0.7500], [0.5000, 0.0461, 0.2500], [0.5000, 0.6934, 0.0495], [0.5000, 0.3066, 0.9505], [0.5000, 0.6934, 0.4505], [0.5000, 0.3066, 0.5495]], "formation_energy_ev_per_atom": -0.79, "polymorph_energy_mev_per_atom": 0}


4.
{"formula": "Pm4Ga2Pt", "functional": "GGA-PBE", "state": "optimized geometry", "lattice": [[-3.7606, 1.7425, -0.5515], [-0.5012, -2.6981, -5.1074], [-1.2124, -5.4502, 6.8969]], "species": ["Pm", "Pm", "Pm", "Pm", "Ga", "Ga", "Pt"], "frac_coords": [[0.9026, 0.3005, 0.8052], [0.0974, 0.6995, 0.1948], [0.6339, 0.2356, 0.2678], [0.3661, 0.7644, 0.7322], [0.7359, 0.8382, 0.4718], [0.2641, 0.1618, 0.5282], [0.0000, 0.0000, 0.0000]], "formation_energy_ev_per_atom": -0.56}


5.
{"formula": "PmGaPt2", "functional": "GGA-PBE", "state": "optimized geometry", "lattice": [[-2.0313, -2.9222, 1.1490], [3.1746, -2.8470, -1.6284], [2.1471, 0.0909, 4.0270]], "species": ["Ga", "Pt", "Pt", "Pm"], "frac_coords": [[0.5000, 0.0000, 0.0000], [0.0000, 0.0000, 0.5000], [0.0000, 0.5000, 0.0000], [0.5000, 0.5000, 0.5000]], "formation_energy_ev_per_atom": -0.73}


6.
{"formula": "PmGa4Pt4", "functional": "GGA-PBE", "state": "optimized geometry", "lattice": [[6.2445, 0.0000, 0.0000], [0.0000, 6.2445, 0.0000], [0.0000, 0.0000, 8.5014]], "species": ["Pm", "Pm", "Ga", "Ga", "Ga", "Ga", "Ga", "Ga", "Ga", "Ga", "Pt", "Pt", "Pt", "Pt", "Pt", "Pt", "Pt", "Pt"], "frac_coords": [[0.0000, 0.0000, 0.0000], [0.5000, 0.5000, 0.5000], [0.2288, 0.5000, 0.8936], [0.7712, 0.5000, 0.8936], [0.5000, 0.7712, 0.1064], [0.5000, 0.2288, 0.1064], [0.0000, 0.7288, 0.3936], [0.0000, 0.2712, 0.3936], [0.2712, 0.0000, 0.6064], [0.7288, 0.0000, 0.6064], [0.5000, 0.7784, 0.8055], [0.5000, 0.2216, 0.8055], [0.7784, 0.5000, 0.1945], [0.2216, 0.5000, 0.1945], [0.2784, 0.0000, 0.3055], [0.7216, 0.0000, 0.3055], [0.0000, 0.2784, 0.6945], [0.0000, 0.7216, 0.6945]], "formation_energy_ev_per_atom": -0.73}


7.
{"formula": "PmGaPt4", "functional": "GGA-PBE", "state": "optimized geometry", "lattice": [[5.4025, 0.0000, 0.0000], [2.7013, 4.6787, 0.0000], [2.7013, 1.5596, 4.4111]], "species": ["Ga", "Pt", "Pt", "Pt", "Pt", "Pm"], "frac_coords": [[0.0000, 0.0000, 0.0000], [0.6257, 0.6257, 0.1230], [0.6257, 0.1230, 0.6257], [0.6257, 0.6257, 0.6257], [0.1230, 0.6257, 0.6257], [0.2500, 0.2500, 0.2500]], "formation_energy_ev_per_atom": -0.77, "polymorph_energy_mev_per_atom": 20}


8.
{"formula": "PmGa8Pt2", "functional": "GGA-PBE", "state": "optimized geometry", "lattice": [[-3.1462, 4.8590, -0.0589], [-3.7034, -2.4430, -3.7188], [-4.2384, -2.6720, 5.9761]], "species": ["Pm", "Ga", "Ga", "Ga", "Ga", "Ga", "Ga", "Ga", "Ga", "Pt", "Pt"], "frac_coords": [[0.5000, 0.5000, 0.5000], [0.7566, 0.7566, 0.2087], [0.7566, 0.2434, 0.7913], [0.7566, 0.7566, 0.7913], [0.7566, 0.2434, 0.2087], [0.2434, 0.7566, 0.2087], [0.2434, 0.7566, 0.7913], [0.2434, 0.2434, 0.2087], [0.2434, 0.2434, 0.7913], [0.5000, 0.0000, 0.0000], [0.0000, 0.5000, 0.0000]], "formation_energy_ev_per_atom": -0.19}


9.
{"formula": "PmGa6Pt2", "functional": "GGA-PBE", "state": "optimized geometry", "lattice": [[-7.0859, -4.5238, 0.1268], [-3.1279, -2.7088, 7.3192], [-7.0790, 3.3603, 3.0476]], "species": ["Pm", "Pm", "Ga", "Ga", "Ga", "Ga", "Ga", "Ga", "Ga", "Ga", "Ga", "Ga", "Ga", "Ga", "Pt", "Pt", "Pt", "Pt"], "frac_coords": [[0.5000, 0.5000, 0.5000], [0.7500, 0.7500, 0.7500], [0.2421, 0.2421, 0.7579], [0.7579, 0.7579, 0.2421], [0.2421, 0.7579, 0.2421], [0.2421, 0.7579, 0.7579], [0.4921, 0.4921, 0.0079], [0.4921, 0.0079, 0.0079], [0.7579, 0.2421, 0.7579], [0.0079, 0.0079, 0.4921], [0.4921, 0.0079, 0.4921], [0.0079, 0.4921, 0.4921], [0.7579, 0.2421, 0.2421], [0.0079, 0.4921, 0.0079], [0.1250, 0.1250, 0.1250], [0.1250, 0.6250, 0.1250], [0.1250, 0.1250, 0.6250], [0.6250, 0.1250, 0.1250]], "formation_energy_ev_per_atom": -0.20}


10.
{"formula": "Pm3Ga2Pt6", "functional": "GGA-PBE", "state": "optimized geometry", "lattice": [[7.8611, 0.0000, -2.7793], [-3.9306, 6.8079, -2.7793], [0.0000, 0.0000, 8.3380]], "species": ["Pm", "Pm", "Pm", "Pm", "Pm", "Pm", "Ga", "Ga", "Ga", "Ga", "Pt", "Pt", "Pt", "Pt", "Pt", "Pt", "Pt", "Pt", "Pt", "Pt", "Pt", "Pt"], "frac_coords": [[0.7021, 0.0000, 0.7021], [0.2979, 0.0000, 0.2979], [0.0000, 0.2979, 0.2979], [0.0000, 0.7021, 0.7021], [0.2979, 0.2979, 0.0000], [0.7021, 0.7021, 0.0000], [0.0000, 0.5000, 0.0000], [0.5000, 0.0000, 0.0000], [0.0000, 0.0000, 0.5000], [0.5000, 0.5000, 0.5000], [0.6766, 0.3532, 0.6766], [0.6766, 0.0000, 0.3234], [0.3234, 0.0000, 0.6766], [0.3234, 0.6468, 0.3234], [0.0000, 0.6766, 0.3234], [0.6468, 0.3234, 0.3234], [0.3532, 0.6766, 0.6766], [0.0000, 0.3234, 0.6766], [0.3234, 0.6766, 0.0000], [0.6766, 0.6766, 0.3532], [0.3234, 0.3234, 0.6468], [0.6766, 0.3234, 0.0000]], "formation_energy_ev_per_atom": -0.99}


11.
{"formula": "PmGaPt", "functional": "GGA-PBE", "state": "optimized geometry", "lattice": [[-3.9445, -2.3063, 0.9675], [0.0190, -4.6648, 0.2310], [-0.5050, -2.1361, 4.1227]], "species": ["Ga", "Pt", "Pm"], "frac_coords": [[0.0000, 0.0000, 0.0000], [0.2500, 0.2500, 0.2500], [0.5000, 0.5000, 0.5000]], "formation_energy_ev_per_atom": -0.82, "polymorph_energy_mev_per_atom": 244}


12.
{"formula": "PmGaPt", "functional": "GGA-PBE", "state": "optimized geometry", "lattice": [[-0.6130, -1.5778, 4.1616], [-5.6235, -4.7381, -2.6247], [4.8279, -5.0611, -1.2077]], "species": ["Pm", "Pm", "Pm", "Pm", "Ga", "Ga", "Ga", "Ga", "Pt", "Pt", "Pt", "Pt"], "frac_coords": [[0.2500, 0.8019, 0.4832], [0.7500, 0.3019, 0.0168], [0.2500, 0.6981, 0.9832], [0.7500, 0.1981, 0.5168], [0.7500, 0.9244, 0.1691], [0.7500, 0.5756, 0.6691], [0.2500, 0.0756, 0.8309], [0.2500, 0.4244, 0.3309], [0.7500, 0.5972, 0.2790], [0.7500, 0.9028, 0.7790], [0.2500, 0.0972, 0.2210], [0.2500, 0.4028, 0.7210]], "formation_energy_ev_per_atom": -1.06, "polymorph_energy_mev_per_atom": 0}